Below is a relaxed Ba2SiIr crystal, with properties calculated at the GGA-PBE level.

The structure belongs to space group F-43m (No. 216); the cell edges are 7.4776, 7.4776 and 7.4776 Å and the angles 90.00°, 90.00° and 90.00°. The distinct sites, in fractional coordinates, are Ba at (0.0000, 0.0000, 0.0000), Ba at (0.2500, 0.2500, 0.2500), Si at (0.0000, 0.0000, 0.5000) and Ir at (0.2500, 0.2500, 0.7500).

The calculated volume is 418.1 Å³/cell. The energy is -4.250 eV per atom. For the calculated density, the calculation gives 7.86 Mg/m³.

***

Below is a relaxed BaSi2Ir2 crystal, with properties calculated at the GGA-PBE level.

The structure belongs to space group P2_1/c (No. 14); the cell edges are 7.9819, 6.7604 and 7.7955 Å and the angles 90.00°, 91.94° and 90.00°. The distinct sites, in fractional coordinates, are Ba at (0.2349, 0.1193, 0.4988), Si at (0.0734, 0.5810, 0.3708), Si at (0.4369, 0.6480, 0.6874), Ir at (0.1376, 0.6666, 0.6698) and Ir at (0.3785, 0.6051, 0.3865).

The calculated volume is 420.4 Å³/cell. The energy is -6.941 eV per atom. For the calculated density, the calculation gives 9.13 Mg/m³.

***

Below is a relaxed BaSi2Ir crystal, with properties calculated at the GGA-PBE level.

The structure belongs to space group C222_1 (No. 20); the cell edges are 8.0934, 15.1893 and 8.1157 Å and the angles 90.00°, 90.00° and 90.00°. The distinct sites, in fractional coordinates, are Ba at (0.0000, 0.1293, 0.2500), Ba at (0.0000, 0.3580, 0.2500), Ba at (0.2381, 0.5000, 0.0000), Si at (0.1025, 0.3834, 0.6404), Si at (0.1038, 0.1019, 0.8520), Si at (0.1654, 0.2708, 0.9135), Ir at (0.1236, 0.2198, 0.6248) and Ir at (0.2353, 0.5000, 0.5000).

The calculated volume is 997.7 Å³/cell. The energy is -6.052 eV per atom. For the calculated density, the calculation gives 7.70 Mg/m³.

***

Below is a relaxed BaSiIr2 crystal, with properties calculated at the GGA-PBE level.

The structure belongs to space group Pmn2_1 (No. 31); the cell edges are 4.3534, 6.1953 and 7.0467 Å and the angles 90.00°, 90.00° and 90.00°. The distinct sites, in fractional coordinates, are Ba at (0.0000, 0.1016, 0.0000), Si at (0.0000, 0.6193, 0.2059), Ir at (0.0000, 0.4161, 0.5039) and Ir at (0.0000, 0.5937, 0.8237).

The calculated volume is 190.1 Å³/cell. The energy is -6.594 eV per atom. For the calculated density, the calculation gives 9.61 Mg/m³.

***

Below is a relaxed BaSiIr2 crystal, with properties calculated at the GGA-PBE level.

The structure belongs to space group P2_1/m (No. 11); the cell edges are 6.3517, 4.1913 and 6.7749 Å and the angles 90.00°, 90.03° and 90.00°. The distinct sites, in fractional coordinates, are Ba at (0.2495, 0.2500, 0.1234), Si at (0.2502, 0.7500, 0.6112), Ir at (0.0447, 0.2500, 0.6272) and Ir at (0.4561, 0.2500, 0.6275).

The calculated volume is 180.4 Å³/cell. The energy is -6.655 eV per atom. For the calculated density, the calculation gives 10.12 Mg/m³.

***

Below is a relaxed BaSi2Ir crystal, with properties calculated at the GGA-PBE level.

The structure belongs to space group F-43m (No. 216); the cell edges are 6.9278, 6.9278 and 6.9278 Å and the angles 90.00°, 90.00° and 90.00°. The distinct sites, in fractional coordinates, are Ba at (0.0000, 0.0000, 0.0000), Si at (0.0000, 0.0000, 0.5000), Si at (0.2500, 0.2500, 0.7500) and Ir at (0.2500, 0.2500, 0.2500).

The calculated volume is 332.5 Å³/cell. The energy is -4.831 eV per atom. For the calculated density, the calculation gives 7.71 Mg/m³.

***

Below is a relaxed BaSrSi2Ir2 crystal, with properties calculated at the GGA-PBE level.

The structure belongs to space group P4mm (No. 99); the cell edges are 4.1321, 4.1321 and 9.3450 Å and the angles 90.00°, 90.00° and 90.00°. The distinct sites, in fractional coordinates, are Ba at (0.0000, 0.0000, 0.0000), Sr at (0.5000, 0.5000, 0.4015), Si at (0.0000, 0.0000, 0.5532), Si at (0.5000, 0.5000, 0.8186) and Ir at (0.0000, 0.5000, 0.6860).

The calculated volume is 159.6 Å³/cell. The energy is -6.098 eV per atom. For the calculated density, the calculation gives 6.93 Mg/m³.

***

Below is a relaxed BaSmIr crystal, with properties calculated at the GGA-PBE level.

The structure belongs to space group F-43m (No. 216); the cell edges are 7.1995, 7.1995 and 7.1995 Å and the angles 90.00°, 90.00° and 90.00°. The distinct sites, in fractional coordinates, are Ba at (0.0000, 0.0000, 0.0000), Sm at (0.0000, 0.0000, 0.5000) and Ir at (0.2500, 0.2500, 0.2500).

Its distance to the lowest polymorph of the same formula is 0.00 kJ/mol of atoms. The calculated volume is 373.2 Å³/cell. The energy is -5.360 eV per atom. For the calculated density, the calculation gives 8.54 Mg/m³.

***

Below is a relaxed BaSn2Ir crystal, with properties calculated at the GGA-PBE level.

The structure belongs to space group F-43m (No. 216); the cell edges are 7.4341, 7.4341 and 7.4341 Å and the angles 90.00°, 90.00° and 90.00°. The distinct sites, in fractional coordinates, are Ba at (0.0000, 0.0000, 0.0000), Sn at (0.0000, 0.0000, 0.5000), Sn at (0.2500, 0.2500, 0.7500) and Ir at (0.2500, 0.2500, 0.2500).

The calculated volume is 410.8 Å³/cell. The energy is -4.539 eV per atom. For the calculated density, the calculation gives 9.17 Mg/m³.

***

Below is a relaxed BaSn3Ir4 crystal, with properties calculated at the GGA-PBE level.

The structure belongs to space group Pm (No. 6); the cell edges are 5.6165, 4.2354 and 7.6252 Å and the angles 90.00°, 97.71° and 90.00°. The distinct sites, in fractional coordinates, are Ba at (0.0000, 0.0000, 0.0000), Sn at (0.4665, 0.5000, 0.8123), Sn at (0.4809, 0.0000, 0.3223), Sn at (0.9103, 0.5000, 0.5335), Ir at (0.1829, 0.5000, 0.2838), Ir at (0.2157, 0.0000, 0.6112), Ir at (0.6640, 0.5000, 0.1825) and Ir at (0.6900, 0.0000, 0.6522).

The calculated volume is 179.7 Å³/cell. The energy is -6.193 eV per atom. For the calculated density, the calculation gives 11.66 Mg/m³.

***

Below is a relaxed Ba3SnIr4 crystal, with properties calculated at the GGA-PBE level.

The structure belongs to space group Pm (No. 6); the cell edges are 6.0507, 4.4759 and 8.1686 Å and the angles 90.00°, 98.12° and 90.00°. The distinct sites, in fractional coordinates, are Ba at (0.0000, 0.0000, 0.0000), Ba at (0.2328, 0.5000, 0.3802), Ba at (0.7493, 0.0000, 0.5070), Sn at (0.5624, 0.5000, 0.8080), Ir at (0.0546, 0.5000, 0.7190), Ir at (0.3077, 0.0000, 0.7265), Ir at (0.5217, 0.0000, 0.0699) and Ir at (0.6341, 0.5000, 0.1570).

The calculated volume is 219.0 Å³/cell. The energy is -5.699 eV per atom. For the calculated density, the calculation gives 9.85 Mg/m³.

***

Below is a relaxed Ba2SnIr crystal, with properties calculated at the GGA-PBE level.

The structure belongs to space group F-43m (No. 216); the cell edges are 7.6813, 7.6813 and 7.6813 Å and the angles 90.00°, 90.00° and 90.00°. The distinct sites, in fractional coordinates, are Ba at (0.0000, 0.0000, 0.0000), Ba at (0.2500, 0.2500, 0.2500), Sn at (0.0000, 0.0000, 0.5000) and Ir at (0.2500, 0.2500, 0.7500).

The calculated volume is 453.2 Å³/cell. The energy is -4.141 eV per atom. For the calculated density, the calculation gives 8.58 Mg/m³.